A geometry-optimized RhW2 structure, computed with PBE.

Energy relative to the elements in eV per atom: 0.1098
V in Å³/cell: 94

Cell lengths 2.7391, 3.9595, 8.6272 Å; angles 90.00, 90.00, 90.00 degrees
Closest atoms and distances in Å follow each position.
Space group Immm (No. 71)
Unique sites:
Rh 0.0000 0.0000 0.0000 x2  2 Rh 2.74, 10 W 2.80-2.89
W 0.0000 0.0000 0.3349 x4  7 W 2.74-2.85, 5 Rh 2.80-2.89